The following is a DFT calculation (PBE) of an optimized crystal structure of RbLaPaSe4.

Properties
Electronic total energy (eV per atom): -5.75
Uncorrected formation energy (eV per atom): -1.56
Magnetic moment (μB per formula unit): 1.012

```
RbLaPaSe4
1.0
-0.790 8.600 -1.654
-2.895 -3.228 7.970
9.018 0.469 -1.870
Se Rb La Pa
8 2 2 2
Cartesian
0.593 4.934 2.000
3.228 3.240 5.010
1.063 0.715 3.209
1.758 6.388 -1.291
4.740 0.906 2.447
4.270 5.125 1.238
3.576 -0.548 5.738
2.106 2.601 -0.563
-1.749 5.148 4.229
7.082 0.693 0.218
4.114 4.534 -1.762
-0.395 4.300 -0.827
3.062 -1.380 3.050
2.667 2.920 2.223
```